1.
This record from the Alexandria database describes MgSi2Ag after structural relaxation. The functional is PBE.

Cell and atoms, written as POSCAR:
```
MgSi2Ag
1.0
2.8066 -4.0366 0.0000
2.8066 4.0366 0.0000
0.0000 0.0000 3.0144
Mg Si Ag
1 2 1
direct
0.0000 0.0000 0.0000
0.0000 0.5000 0.5000
0.5000 0.0000 0.5000
0.5000 0.5000 0.0000
```

Computed properties:
Energy relative to the elements, uncorrected: 0.208 eV per atom
Symmetry: Cmmm
Spin magnetization: 0.0 μB/f.u.

2.
This record from the Alexandria database describes RbPb2Br5 after structural relaxation. The functional is PBE.

Cell and atoms, written as POSCAR:
```
RbPb2Br5
1.0
-4.2727 4.2727 7.5991
4.2727 -4.2727 7.5991
4.2727 4.2727 -7.5991
Rb Pb Br
2 4 10
direct
0.2500 0.2500 0.0000
0.7500 0.7500 0.0000
0.1669 0.6669 0.8338
0.3331 0.1669 0.5000
0.6669 0.8331 0.5000
0.8331 0.3331 0.1662
0.0000 0.0000 0.0000
0.0235 0.2143 0.5000
0.2143 0.7143 0.1908
0.2857 0.4765 0.5000
0.4765 0.9765 0.1908
0.5000 0.5000 0.0000
0.5235 0.0235 0.8092
0.7143 0.5235 0.5000
0.7857 0.2857 0.8092
0.9765 0.7857 0.5000
```

Computed properties:
Offset from the most stable computed form: 0 meV per atom
Energy relative to the elements, uncorrected: -1.130 eV per atom
Symmetry: I4/mcm
Spin magnetization: 0.0 μB/f.u.

3.
This record from the Alexandria database describes CePmEr after structural relaxation. The functional is PBE.

Cell and atoms, written as POSCAR:
```
CePmEr
1.0
3.5295 0.0000 0.0000
-1.7648 3.0567 0.0000
0.0000 0.0000 8.6909
Ce Pm Er
1 1 1
direct
0.0000 0.0000 0.0000
0.3333 0.6667 0.6671
0.6667 0.3333 0.3237
```

Computed properties:
Offset from the most stable computed form: 5 meV per atom
Energy relative to the elements: 0.0717 eV per atom
Symmetry: P3m1
Spin magnetization: 0.6 μB/f.u.

4.
This record from the Alexandria database describes Ac8GeTe3Se4 after structural relaxation. The functional is PBE.

Cell and atoms, written as POSCAR:
```
Ac8GeTe3Se4
1.0
4.6039 2.6581 7.4755
-4.6039 2.6581 7.4755
0.0000 -5.3162 7.4755
Ac Ge Te Se
8 1 3 4
direct
0.2301 0.7555 0.7555
0.2421 0.2421 0.2421
0.2445 0.2445 0.7699
0.2445 0.7699 0.2445
0.7555 0.2301 0.7555
0.7555 0.7555 0.2301
0.7579 0.7579 0.7579
0.7699 0.2445 0.2445
0.0000 0.0000 0.0000
0.0000 0.5000 0.5000
0.5000 0.0000 0.5000
0.5000 0.5000 0.0000
0.0000 0.0000 0.5000
0.0000 0.5000 0.0000
0.5000 0.0000 0.0000
0.5000 0.5000 0.5000
```

Computed properties:
Energy relative to the elements, uncorrected: -1.616 eV per atom
Symmetry: R-3m
Spin magnetization: 0.0 μB/f.u.

5.
This record from the Alexandria database describes ReAuN2F after structural relaxation. The functional is PBE.

Cell and atoms, written as POSCAR:
```
ReAuN2F
1.0
4.1200 0.0000 0.0000
0.0000 4.1200 0.0000
0.0000 0.0000 4.1153
Re Au N F
1 1 2 1
direct
0.0000 0.0000 0.0000
0.5000 0.5000 0.5000
0.0000 0.5000 0.5000
0.5000 0.0000 0.5000
0.5000 0.5000 0.0000
```

Computed properties:
Offset from the most stable computed form: 1690 meV per atom
Energy relative to the elements, uncorrected: 2.038 eV per atom
Symmetry: P4/mmm
Spin magnetization: 3.3 μB/f.u.

6.
This record from the Alexandria database describes B2AuCF after structural relaxation. The functional is PBE.

Cell and atoms, written as POSCAR:
```
B2AuCF
1.0
3.8306 0.0000 0.0000
0.0000 3.8306 0.0000
0.0000 0.0000 3.8616
B Au C F
2 1 1 1
direct
0.0000 0.5000 0.0000
0.5000 0.0000 0.0000
0.0000 0.0000 0.5000
0.5000 0.5000 0.5000
0.5000 0.5000 0.0000
```

Computed properties:
Energy relative to the elements, uncorrected: 2.306 eV per atom
Symmetry: P4/mmm
Spin magnetization: 0.0 μB/f.u.

7.
This record from the Alexandria database describes HgMo2W after structural relaxation. The functional is PBE.

Cell and atoms, written as POSCAR:
```
HgMo2W
1.0
1.4181 0.8188 9.9071
-1.4181 0.8188 9.9071
0.0000 -1.6375 9.9071
Hg Mo W
1 2 1
direct
0.0000 0.0000 0.0000
0.2469 0.2469 0.2469
0.7531 0.7531 0.7531
0.5000 0.5000 0.5000
```

Computed properties:
Energy relative to the elements: 0.5492 eV per atom
Symmetry: R-3m
Spin magnetization: 0.0 μB/f.u.

8.
This record from the Alexandria database describes Hf2ReBP after structural relaxation. The functional is PBE.

Cell and atoms, written as POSCAR:
```
Hf2ReBP
1.0
5.0600 0.0000 0.0000
0.0000 5.0600 0.0000
0.0000 0.0000 4.3676
Hf Re B P
2 1 1 1
direct
0.0000 0.5000 0.0000
0.5000 0.0000 0.0000
0.0000 0.0000 0.0000
0.5000 0.5000 0.5000
0.0000 0.0000 0.5000
```

Computed properties:
Energy relative to the elements: 1.1727 eV per atom
Symmetry: P4/mmm
Spin magnetization: 0.0 μB/f.u.

9.
This record from the Alexandria database describes MnCoReCSBr after structural relaxation. The functional is PBE.

Cell and atoms, written as POSCAR:
```
MnCoReCSBr
1.0
4.0621 0.0000 0.0000
0.8114 4.6946 0.0000
0.1637 1.8725 5.0306
Mn Co Re C S Br
1 1 1 1 1 1
direct
0.0000 0.0000 0.0000
0.4790 0.3089 0.6422
0.8140 0.7075 0.8083
0.3925 0.9363 0.8552
0.1191 0.7165 0.4331
0.6456 0.3122 0.2118
```

Computed properties:
Offset from the most stable computed form: 572 meV per atom
Energy relative to the elements, uncorrected: 0.493 eV per atom
Symmetry: P1
Spin magnetization: 0.0 μB/f.u.

10.
This record from the Alexandria database describes Tb2HoHg after structural relaxation. The functional is PBE.

Cell and atoms, written as POSCAR:
```
Tb2HoHg
1.0
2.2733 -6.0428 0.0000
2.2733 6.0428 0.0000
0.0000 0.0000 8.6800
Tb Ho Hg
4 2 2
direct
0.1375 0.8625 0.5487
0.1375 0.8625 0.9513
0.8625 0.1375 0.0487
0.8625 0.1375 0.4513
0.4464 0.5536 0.7500
0.5536 0.4464 0.2500
0.2635 0.7365 0.2500
0.7365 0.2635 0.7500
```

Computed properties:
Offset from the most stable computed form: 77 meV per atom
Energy relative to the elements: -0.1465 eV per atom
Symmetry: Cmcm
Spin magnetization: 0.0 μB/f.u.

11.
This record from the Alexandria database describes Fe2WSe after structural relaxation. The functional is PBE.

Cell and atoms, written as POSCAR:
```
Fe2WSe
1.0
-2.6813 2.6813 5.1016
2.6813 -2.6813 5.1016
2.6813 2.6813 -5.1016
Fe W Se
4 2 2
direct
0.1147 0.6250 0.9897
0.3750 0.3647 0.4897
0.6353 0.1250 0.0103
0.8750 0.8853 0.5103
0.2500 0.7500 0.5000
0.5000 0.5000 0.0000
0.0000 0.0000 0.0000
0.7500 0.2500 0.5000
```

Computed properties:
Energy relative to the elements, uncorrected: 0.791 eV per atom
Symmetry: I-42d
Spin magnetization: 0.0 μB/f.u.

12.
This record from the Alexandria database describes NaTlAu4 after structural relaxation. The functional is PBE.

Cell and atoms, written as POSCAR:
```
NaTlAu4
1.0
0.0000 4.0084 4.0084
4.0084 0.0000 4.0084
4.0084 4.0084 0.0000
Na Tl Au
1 1 4
direct
0.0000 0.0000 0.0000
0.7500 0.7500 0.7500
0.3745 0.3745 0.3745
0.3745 0.3745 0.8764
0.3745 0.8764 0.3745
0.8764 0.3745 0.3745
```

Computed properties:
Energy relative to the elements: -0.1822 eV per atom
Symmetry: F-43m
Spin magnetization: 0.0 μB/f.u.